[1]
The following is a PBEsol calculation of a relaxed structure of RbAuO, from Alexandria via LeMat-Bulk.

a = 7.559 Å, b = 7.559 Å, c = 7.559 Å
α = 98.47°, β = 98.47°, γ = 134.85°
Fractional positions:
Rb: 0.000 0.305 0.305
Rb: 0.000 0.695 0.695
Rb: 0.305 0.000 0.305
Rb: 0.695 0.000 0.695
Au: 0.351 0.351 0.701
Au: 0.351 0.649 0.000
Au: 0.649 0.351 0.000
Au: 0.649 0.649 0.299
O: 0.211 0.500 0.711
O: 0.500 0.211 0.711
O: 0.500 0.789 0.289
O: 0.789 0.500 0.289

Calculated values
The calculation puts the total magnetization at 0.000 μB per cell. The value obtained for the uncorrected formation energy is -0.807 eV per atom. For the density, the calculation gives 7.0 g cm⁻³.



[2]
The following is a PBEsol calculation of a relaxed structure of MnTlSe, from Alexandria via LeMat-Bulk.

a = 4.576 Å, b = 4.576 Å, c = 4.576 Å
α = 60.00°, β = 60.00°, γ = 60.00°
Fractional positions:
Mn: 0.000 0.000 0.000
Tl: 0.250 0.250 0.250
Se: 0.750 0.750 0.750

Calculated values
The calculation puts the total magnetization at 4.103 μB per cell. The calculation puts the energy relative to the lowest polymorph listed for this composition at 55.7 kJ/mol of formula units. The value obtained for the uncorrected formation energy is 0.235 eV per atom. For the density, the calculation gives 8.3 g cm⁻³. The density of states at the Fermi level comes out at 1.015 states/eV per atom.



[3]
The following is a PBEsol calculation of a relaxed structure of LaCdRe3, from Alexandria via LeMat-Bulk.

a = 4.857 Å, b = 4.857 Å, c = 4.857 Å
α = 90.00°, β = 90.00°, γ = 90.00°
Fractional positions:
La: 0.000 0.000 0.000
Cd: 0.500 0.500 0.500
Re: 0.000 0.500 0.500
Re: 0.500 0.000 0.500
Re: 0.500 0.500 0.000

Calculated values
The calculation puts the total magnetization at 2.226 μB per cell. As for the energy of formation from the pure elements: 2.455 eV/atom. For the density, the calculation gives 11.7 g cm⁻³. The density of states at the Fermi level comes out at 2.006 states/eV per atom.



[4]
The following is a PBEsol calculation of a relaxed structure of La3PPd, from Alexandria via LeMat-Bulk.

a = 5.461 Å, b = 5.461 Å, c = 5.461 Å
α = 90.00°, β = 90.00°, γ = 90.00°
Fractional positions:
La: 0.000 0.000 0.500
La: 0.000 0.500 0.000
La: 0.500 0.000 0.000
P: 0.500 0.500 0.500
Pd: 0.000 0.000 0.000

Calculated values
The calculation puts the total magnetization at 0.002 μB per cell. As for the energy of formation from the pure elements: -0.105 eV/atom. For the density, the calculation gives 5.6 g cm⁻³. The density of states at the Fermi level comes out at 1.329 states/eV per atom.



[5]
The following is a PBEsol calculation of a relaxed structure of ReSeCl, from Alexandria via LeMat-Bulk.

a = 9.112 Å, b = 9.112 Å, c = 11.122 Å
α = 90.00°, β = 90.00°, γ = 102.72°
Fractional positions:
Re: 0.100 0.607 0.678
Re: 0.116 0.884 0.750
Re: 0.178 0.684 0.900
Re: 0.316 0.822 0.600
Re: 0.377 0.623 0.750
Re: 0.393 0.900 0.822
Re: 0.607 0.100 0.322
Re: 0.623 0.377 0.250
Re: 0.684 0.178 0.100
Re: 0.822 0.316 0.400
Re: 0.884 0.116 0.250
Re: 0.900 0.393 0.178
Se: 0.051 0.801 0.536
Se: 0.086 0.331 0.327
Se: 0.199 0.949 0.964
Se: 0.295 0.553 0.536
Se: 0.331 0.086 0.673
Se: 0.447 0.705 0.964
Se: 0.553 0.295 0.464
Se: 0.669 0.914 0.173
Se: 0.705 0.447 0.036
Se: 0.801 0.051 0.464
Se: 0.914 0.669 0.827
Se: 0.949 0.199 0.036
Cl: 0.049 0.951 0.250
Cl: 0.104 0.593 0.104
Cl: 0.171 0.427 0.823
Cl: 0.407 0.896 0.396
Cl: 0.427 0.171 0.177
Cl: 0.460 0.540 0.250
Cl: 0.540 0.460 0.750
Cl: 0.573 0.829 0.677
Cl: 0.593 0.104 0.896
Cl: 0.829 0.573 0.323
Cl: 0.896 0.407 0.604
Cl: 0.951 0.049 0.750

Calculated values
The calculation puts the total magnetization at 0.000 μB per cell. The value obtained for the uncorrected formation energy is -0.551 eV per atom. For the density, the calculation gives 6.6 g cm⁻³. The density of states at the Fermi level comes out at 0.000 states/eV per atom.



[6]
The following is a PBEsol calculation of a relaxed structure of CdRh, from Alexandria via LeMat-Bulk.

a = 5.382 Å, b = 5.382 Å, c = 6.756 Å
α = 106.13°, β = 106.13°, γ = 30.82°
Fractional positions:
Cd: 0.000 0.000 0.000
Cd: 0.035 0.035 0.601
Cd: 0.678 0.678 0.343
Rh: 0.319 0.319 0.683
Rh: 0.382 0.382 0.257
Rh: 0.723 0.723 0.943

Calculated values
The calculation puts the total magnetization at 0.002 μB per cell. As for the energy of formation from the pure elements: 0.001 eV/atom. For the density, the calculation gives 11.2 g cm⁻³. The density of states at the Fermi level comes out at 0.786 states/eV per atom.



[7]
The following is a PBEsol calculation of a relaxed structure of BaBeAs2, from Alexandria via LeMat-Bulk.

a = 4.856 Å, b = 4.856 Å, c = 6.378 Å
α = 118.43°, β = 118.43°, γ = 46.46°
Fractional positions:
Ba: 0.000 0.000 0.000
Be: 0.500 0.500 0.500
As: 0.173 0.173 0.611
As: 0.827 0.827 0.389

Calculated values
The calculation puts the total magnetization at 0.000 μB per cell. As for the energy of formation from the pure elements: -0.323 eV/atom. For the density, the calculation gives 5.3 g cm⁻³. The density of states at the Fermi level comes out at 0.413 states/eV per atom.



[8]
The following is a PBEsol calculation of a relaxed structure of YMg2Pb, from Alexandria via LeMat-Bulk.

a = 6.363 Å, b = 6.363 Å, c = 6.363 Å
α = 146.91°, β = 132.49°, γ = 59.12°
Fractional positions:
Y: 0.000 0.000 0.000
Mg: 0.260 0.760 0.500
Mg: 0.740 0.240 0.500
Pb: 0.500 0.500 0.000

Calculated values
The calculation puts the total magnetization at 0.000 μB per cell. As for the energy of formation from the pure elements: -0.206 eV/atom. For the density, the calculation gives 5.6 g cm⁻³. The density of states at the Fermi level comes out at 0.813 states/eV per atom.



[9]
The following is a PBEsol calculation of a relaxed structure of CsLiNF2, from Alexandria via LeMat-Bulk.

a = 5.240 Å, b = 5.240 Å, c = 4.694 Å
α = 90.00°, β = 90.00°, γ = 90.00°
Fractional positions:
Cs: 0.000 0.000 0.000
Li: 0.500 0.500 0.500
N: 0.000 0.000 0.500
F: 0.000 0.500 0.000
F: 0.500 0.000 0.000

Calculated values
The calculation puts the total magnetization at 1.947 μB per cell. The value obtained for the uncorrected formation energy is -0.246 eV per atom. For the density, the calculation gives 2.5 g cm⁻³. The density of states at the Fermi level comes out at 0.425 states/eV per atom.



[10]
The following is a PBEsol calculation of a relaxed structure of TiAlSiGe2, from Alexandria via LeMat-Bulk.

a = 4.659 Å, b = 4.659 Å, c = 4.725 Å
α = 90.00°, β = 90.00°, γ = 90.00°
Fractional positions:
Ti: 0.000 0.000 0.000
Al: 0.500 0.500 0.000
Si: 0.000 0.000 0.500
Ge: 0.000 0.500 0.500
Ge: 0.500 0.000 0.500

Calculated values
The calculation puts the total magnetization at 0.003 μB per cell. The value obtained for the uncorrected formation energy is 0.621 eV per atom. For the density, the calculation gives 4.0 g cm⁻³. The density of states at the Fermi level comes out at 0.828 states/eV per atom.



Question: total magnetization of number 10 (TiAlSiGe2)?
Answer: 0.003 μB per cell



Question: Number 3 is which compound?
Answer: LaCdRe3